1.
Below is Nd2Tc2Ge2C after structural relaxation, with properties calculated at the PBE level.

Values from the calculation:
Energy of formation   -569 meV/atom
VASP energy   -7.530 eV per atom

Cell: 5.972 5.972 7.231 Å, 124.17 124.17 40.32°
Fractional positions:
1 Nd 0.067 0.067 0.296
2 Nd 0.933 0.933 0.704
3 Tc 0.300 0.300 0.916
4 Tc 0.700 0.700 0.084
5 Ge 0.347 0.347 0.305
6 Ge 0.653 0.653 0.695
7 C 0.500 0.500 0.000

---

2.
Below is SbTePd2 after structural relaxation, with properties calculated at the PBE level.

Values from the calculation:
ΔE_f (raw)   -0.229 eV/atom
VASP energy   -4.641 eV per atom

Cell: 6.320 6.320 6.320 Å, 38.64 38.64 38.64°
Fractional positions:
1 Sb 0.000 0.000 0.000
2 Te 0.175 0.175 0.175
3 Pd 0.415 0.415 0.415
4 Pd 0.591 0.591 0.591

---

3.
Below is BeCuTc2 after structural relaxation, with properties calculated at the PBE level.

Values from the calculation:
Energy of formation   203 meV/atom
VASP energy   -6.936 eV per atom

Cell: 4.762 4.762 2.560 Å, 96.59 96.59 115.39°
Fractional positions:
1 Be 0.000 0.000 0.000
2 Cu 0.500 0.500 0.000
3 Tc 0.000 0.500 0.500
4 Tc 0.500 0.000 0.500

---

4.
Below is MnPd4Pt5 after structural relaxation, with properties calculated at the PBE level.

Values from the calculation:
Energy of formation   77 meV/atom
VASP energy   -5.937 eV per atom

Cell: 5.353 5.353 8.222 Å, 90.55 90.55 45.46°
Fractional positions:
1 Mn 0.000 0.000 0.000
2 Pd 0.178 0.178 0.754
3 Pd 0.466 0.466 0.748
4 Pd 0.534 0.534 0.252
5 Pd 0.822 0.822 0.246
6 Pt 0.000 0.000 0.500
7 Pt 0.324 0.324 0.460
8 Pt 0.331 0.331 0.034
9 Pt 0.669 0.669 0.966
10 Pt 0.676 0.676 0.540

---

5.
Below is KSn2Ge2 after structural relaxation, with properties calculated at the PBE level.

Values from the calculation:
Energy of formation   -52 meV/atom
VASP energy   -3.719 eV per atom

Cell: 6.425 6.425 6.425 Å, 132.29 132.29 69.76°
Fractional positions:
1 K 0.000 0.000 0.000
2 Sn 0.360 0.360 0.000
3 Sn 0.640 0.640 0.000
4 Ge 0.250 0.750 0.500
5 Ge 0.750 0.250 0.500

---

6.
Below is TaCo after structural relaxation, with properties calculated at the PBE level.

Values from the calculation:
Energy of formation   -87 meV/atom
VASP energy   -9.566 eV per atom

Cell: 4.733 4.733 2.699 Å, 98.60 98.60 104.00°
Fractional positions:
1 Ta 0.209 0.791 0.000
2 Ta 0.791 0.209 0.000
3 Co 0.305 0.305 0.560
4 Co 0.695 0.695 0.440